Here is a geometry-optimized Nd4RuPb2 structure from the Alexandria database. Energies are from GGA-PBE.

abc: 4.808 6.314 7.953
angles: 77.26 72.41 67.62
Sites, in units of the cell vectors:
Nd 0.335 0.280 0.051
Ru 0.000 0.000 0.000
Pb 0.338 0.656 0.669
Nd 0.063 0.222 0.652
Pb 0.662 0.344 0.331
Nd 0.937 0.778 0.348
Nd 0.665 0.720 0.949

## Properties
E_form = -2.94 eV/f.u.
Fermi-level density of states = 5.42 states/eV per cell
E = -5.5298 eV/atom
ΔE to the lowest computed polymorph = 0.0 kJ per mole of atoms

=====

Here is a geometry-optimized Nd4RuPb2 structure from the Alexandria database. Energies are from GGA-PBE.

abc: 5.201 5.201 9.313
angles: 106.21 106.21 90.00
Sites, in units of the cell vectors:
Nd 0.825 0.825 0.651
Nd 0.175 0.175 0.349
Pb 0.638 0.638 0.277
Nd 0.500 0.000 0.000
Nd 0.000 0.500 0.000
Pb 0.362 0.362 0.723
Ru 0.000 0.000 0.000

## Properties
E_form = -1.92 eV/f.u.
Fermi-level density of states = 4.83 states/eV per cell
E = -5.3841 eV/atom
ΔE to the lowest computed polymorph = 14.1 kJ per mole of atoms

=====

Here is a geometry-optimized Nd4RuPb structure from the Alexandria database. Energies are from GGA-PBE.

abc: 6.348 8.783 8.346
angles: 114.05 102.47 108.20
Sites, in units of the cell vectors:
Nd 0.942 0.791 0.139
Nd 0.058 0.209 0.861
Pb 0.623 0.373 0.746
Nd 0.784 0.718 0.657
Ru 0.750 0.000 0.999
Nd 0.303 0.652 0.861
Nd 0.373 0.938 0.657
Nd 0.216 0.282 0.343
Ru 0.250 0.000 0.001
Pb 0.377 0.627 0.254
Nd 0.697 0.348 0.139
Nd 0.627 0.062 0.343

## Properties
E_form = -1.94 eV/f.u.
Fermi-level density of states = 13.33 states/eV per cell
E = -5.6654 eV/atom

=====

Here is a geometry-optimized Nd3RuPb structure from the Alexandria database. Energies are from GGA-PBE.

abc: 7.322 7.321 8.038
angles: 90.00 62.94 60.00
Sites, in units of the cell vectors:
Ru 0.374 0.268 0.748
Ru 0.053 0.929 0.731
Nd 0.894 0.008 0.472
Nd 0.391 0.511 0.471
Nd 0.533 0.188 0.007
Nd 0.035 0.189 0.008
Pb 0.505 0.702 0.052
Nd 0.391 0.008 0.471
Pb 0.922 0.494 0.427
Nd 0.035 0.686 0.008

## Properties
E_form = -0.84 eV/f.u.
Fermi-level density of states = 7.10 states/eV per cell
E = -5.6265 eV/atom
ΔE to the lowest computed polymorph = 16.6 kJ per mole of atoms

=====

Here is a geometry-optimized Nd5PbS8 structure from the Alexandria database. Energies are from GGA-PBE.

abc: 7.490 7.490 7.490
angles: 109.15 110.11 109.15
Sites, in units of the cell vectors:
Nd 0.500 0.000 0.500
S 0.127 0.758 0.030
Pb 0.250 0.500 0.750
Nd 0.746 0.614 0.630
S 0.486 0.604 0.239
S 0.970 0.096 0.728
Nd 0.016 0.386 0.132
S 0.761 0.246 0.365
Nd 0.868 0.884 0.254
S 0.272 0.242 0.369
S 0.631 0.904 0.873
S 0.635 0.396 0.881
S 0.119 0.754 0.514
Nd 0.370 0.116 0.984

## Properties
energy relative to the elements, uncorrected = -1.810 eV per atom
Fermi-level density of states = 5.22 states/eV per cell
E = -6.1362 eV/atom

=====

Here is a geometry-optimized Nd2PbS4 structure from the Alexandria database. Energies are from GGA-PBE.

abc: 7.535 7.535 7.535
angles: 109.40 109.40 109.61
Sites, in units of the cell vectors:
S 0.863 0.615 0.097
S 0.865 0.613 0.597
Pb 0.250 0.750 0.500
Nd 0.758 0.875 0.383
S 0.387 0.984 0.252
S 0.518 0.766 0.903
Nd 0.625 0.242 0.117
S 0.385 0.482 0.248
S 0.016 0.268 0.403
S 0.234 0.137 0.752
Nd 0.125 0.508 0.883
S 0.732 0.135 0.748
Pb 0.000 0.000 0.000
Nd 0.492 0.375 0.617

## Properties
energy relative to the elements, uncorrected = -1.597 eV per atom
Fermi-level density of states = 0.00 states/eV per cell
E = -5.8471 eV/atom
ΔE to the lowest computed polymorph = 0.1 kJ per mole of atoms

=====

Here is a geometry-optimized NdPb2S3 structure from the Alexandria database. Energies are from GGA-PBE.

abc: 4.052 7.622 11.756
angles: 66.31 90.00 90.00
Sites, in units of the cell vectors:
S 0.250 0.501 0.658
Nd 0.250 0.685 0.828
Pb 0.250 0.265 0.496
S 0.250 0.302 0.007
S 0.750 0.933 0.670
S 0.750 0.698 0.993
S 0.250 0.067 0.330
Pb 0.250 0.905 0.149
Nd 0.750 0.315 0.172
Pb 0.750 0.735 0.504
S 0.750 0.499 0.342
Pb 0.750 0.095 0.851

## Properties
energy relative to the elements, uncorrected = -1.012 eV per atom
Fermi-level density of states = 1.38 states/eV per cell
E = -5.1068 eV/atom

=====

Here is a geometry-optimized NdPbS3 structure from the Alexandria database. Energies are from GGA-PBE.

abc: 4.359 7.886 8.820
angles: 94.63 104.31 90.00
Sites, in units of the cell vectors:
S 0.053 0.246 0.106
Pb 0.100 0.905 0.201
Nd 0.342 0.645 0.684
S 0.823 0.412 0.645
S 0.687 0.999 0.374
Nd 0.658 0.355 0.316
Pb 0.900 0.095 0.799
S 0.947 0.754 0.894
S 0.177 0.588 0.355
S 0.313 0.001 0.626

## Properties
energy relative to the elements, uncorrected = -1.032 eV per atom
Fermi-level density of states = 3.03 states/eV per cell
E = -5.2038 eV/atom

=====

Here is a geometry-optimized Nd6PbS4 structure from the Alexandria database. Energies are from GGA-PBE.

abc: 4.160 7.087 20.861
angles: 90.00 90.00 107.07
Last column: magnetic moment on the atom in μB.
Sites, in units of the cell vectors:
Nd 0.500 0.000 0.500  -0.01
Nd 0.229 0.458 0.583  0.01
Nd 0.037 0.074 0.156  0.05
S 0.863 0.726 0.539  0.00
Nd 0.340 0.680 0.250  0.08
S 0.403 0.807 0.122  0.00
Nd 0.963 0.926 0.844  0.05
Nd 0.963 0.926 0.656  0.05
Nd 0.771 0.542 0.083  0.01
S 0.597 0.193 0.878  0.00
Nd 0.037 0.074 0.344  0.05
S 0.137 0.274 0.461  0.00
Nd 0.771 0.542 0.417  0.01
Nd 0.500 0.000 0.000  -0.01
Nd 0.660 0.320 0.750  0.08
Pb 0.341 0.682 0.750  0.00
Pb 0.659 0.318 0.250  0.00
S 0.403 0.807 0.378  0.00
S 0.137 0.274 0.039  0.00
S 0.597 0.193 0.622  0.00
S 0.863 0.726 0.961  0.00
Nd 0.229 0.458 0.917  0.01

## Properties
energy relative to the elements, uncorrected = -1.596 eV per atom
Fermi-level density of states = 14.63 states/eV per cell
E = -6.0347 eV/atom

=====

Here is a geometry-optimized Nd2PbS structure from the Alexandria database. Energies are from GGA-PBE.

abc: 4.036 4.036 8.387
angles: 89.82 104.07 120.10
Sites, in units of the cell vectors:
Nd 0.531 0.267 0.798
Pb 0.000 0.500 0.500
Nd 0.469 0.733 0.202
S 0.000 0.000 0.000

## Properties
energy relative to the elements, uncorrected = -1.242 eV per atom
Fermi-level density of states = 2.07 states/eV per cell
E = -5.5844 eV/atom
ΔE to the lowest computed polymorph = 0.0 kJ per mole of atoms

=====

Here is a geometry-optimized Nd3PbS6 structure from the Alexandria database. Energies are from GGA-PBE.

abc: 6.961 8.808 8.808
angles: 102.56 90.00 90.00
Sites, in units of the cell vectors:
Pb 0.996 0.175 0.825
S 0.684 0.307 0.365
Nd 0.888 0.596 0.404
Nd 0.388 0.404 0.596
S 0.741 0.991 0.009
S 0.620 0.229 0.771
S 0.203 0.096 0.566
S 0.184 0.365 0.307
S 0.684 0.635 0.693
Pb 0.496 0.825 0.175
S 0.703 0.904 0.434
Nd 0.984 0.086 0.289
Nd 0.484 0.289 0.086
S 0.120 0.771 0.229
S 0.241 0.009 0.991
Nd 0.984 0.711 0.914
S 0.203 0.434 0.904
Nd 0.484 0.914 0.711
S 0.184 0.693 0.635
S 0.703 0.566 0.096

## Properties
energy relative to the elements, uncorrected = -1.566 eV per atom
Fermi-level density of states = 6.46 states/eV per cell
E = -5.8441 eV/atom

=====

Here is a geometry-optimized Nd2PbS4 structure from the Alexandria database. Energies are from GGA-PBE.

abc: 8.464 8.464 8.464
angles: 119.96 119.95 90.09
Sites, in units of the cell vectors:
Nd 0.625 0.375 0.750
S 0.387 0.162 0.775
S 0.838 0.613 0.225
S 0.387 0.612 0.225
Nd 0.625 0.875 0.250
Nd 0.625 0.375 0.250
S 0.412 0.137 0.275
S 0.862 0.137 0.725
S 0.863 0.588 0.725
S 0.863 0.138 0.275
Pb 0.250 0.750 0.500
Pb 0.000 0.000 0.000
Nd 0.125 0.375 0.750
S 0.388 0.613 0.775

## Properties
energy relative to the elements, uncorrected = -1.580 eV per atom
Fermi-level density of states = 0.00 states/eV per cell
E = -5.8301 eV/atom
ΔE to the lowest computed polymorph = 1.7 kJ per mole of atoms